(1)
# PmTm6Zn2 PBE-GGA optimized geometry
# **Energy relative to the elements**: -0.14 eV/atom
data_PmTm6Zn2
_symmetry_space_group_name_H-M 'C 1 2/m 1'
_symmetry_Int_Tables_number 12
_symmetry_space_group_name_Hall '-C 2y'
_cell_length_a 12.322
_cell_length_b 3.580
_cell_length_c 11.620
_cell_angle_alpha 90.00
_cell_angle_beta 108.51
_cell_angle_gamma 90.00
loop_
_atom_site_label
_atom_site_type_symbol
_atom_site_fract_x
_atom_site_fract_y
_atom_site_fract_z
Pm1 Pm 0.000 0.000 0.000
Tm1 Tm 0.021 0.000 0.335
Tm2 Tm 0.187 0.500 0.587
Tm3 Tm 0.190 0.500 0.874
Zn1 Zn 0.152 0.500 0.214

=====

(2)
# Cu2SbAs PBE-GGA optimized geometry
# **Relative energy among the computed polymorphs**: 0.0627 eV per atom
data_Cu2SbAs
_symmetry_space_group_name_H-M 'C 1 2/m 1'
_symmetry_Int_Tables_number 12
_symmetry_space_group_name_Hall '-C 2y'
_cell_length_a 7.406
_cell_length_b 3.450
_cell_length_c 5.783
_cell_angle_alpha 90.00
_cell_angle_beta 105.60
_cell_angle_gamma 90.00
loop_
_atom_site_label
_atom_site_type_symbol
_atom_site_fract_x
_atom_site_fract_y
_atom_site_fract_z
Cu1 Cu 0.243 0.000 0.204
Sb1 Sb 0.000 0.000 0.500
As1 As 0.000 0.500 0.000

=====

(3)
# LiAsHOs PBE-GGA optimized geometry
# **Relative energy among the computed polymorphs**: 0.1538 eV per atom
data_LiAsHOs
_symmetry_space_group_name_H-M 'C 1 m 1'
_symmetry_Int_Tables_number 8
_symmetry_space_group_name_Hall 'C -2y'
_cell_length_a 6.688
_cell_length_b 3.217
_cell_length_c 5.738
_cell_angle_alpha 90.00
_cell_angle_beta 114.15
_cell_angle_gamma 90.00
loop_
_atom_site_label
_atom_site_type_symbol
_atom_site_fract_x
_atom_site_fract_y
_atom_site_fract_z
Li1 Li 0.000 0.000 0.000
As1 As 0.311 0.500 0.386
H1 H 0.296 0.000 0.939
Os1 Os 0.195 0.000 0.616

=====

(4)
# Tb6Ho8Tm PBE-GGA optimized geometry
# **Energy relative to the elements**: 0.12 eV/atom
# **Relative energy among the computed polymorphs**: 0.0000 eV per atom
data_Tb6Ho8Tm
_symmetry_space_group_name_H-M 'R -3'
_symmetry_Int_Tables_number 148
_symmetry_space_group_name_Hall '-R 3'
_cell_length_a 8.9769
_cell_length_b 8.9769
_cell_length_c 20.4541
_cell_angle_alpha 90.00
_cell_angle_beta 90.00
_cell_angle_gamma 120.00
loop_
_atom_site_label
_atom_site_type_symbol
_atom_site_fract_x
_atom_site_fract_y
_atom_site_fract_z
Tb1 Tb 0.0647 0.8161 0.2080
Ho1 Ho 0.0000 0.0000 0.0767
Ho2 Ho 0.0816 0.5292 0.3081
Tm1 Tm 0.0000 0.0000 0.5000

=====

(5)
# Mg2OsCl PBE-GGA optimized geometry
# **Relative energy among the computed polymorphs**: 0.3006 eV per atom
data_Mg2OsCl
_symmetry_space_group_name_H-M 'C 1 m 1'
_symmetry_Int_Tables_number 8
_symmetry_space_group_name_Hall 'C -2y'
_cell_length_a 10.286
_cell_length_b 2.875
_cell_length_c 4.786
_cell_angle_alpha 90.00
_cell_angle_beta 97.53
_cell_angle_gamma 90.00
loop_
_atom_site_label
_atom_site_type_symbol
_atom_site_fract_x
_atom_site_fract_y
_atom_site_fract_z
Mg1 Mg 0.000 0.000 0.000
Mg2 Mg 0.209 0.500 0.604
Os1 Os 0.444 0.000 0.496
Cl1 Cl 0.251 0.000 0.090

=====

(6)
# K2BaAuCl PBE-GGA optimized geometry
# **E**: -10.6 eV for the cell shown
data_K2BaAuCl
_symmetry_space_group_name_H-M 'P 4/m m m'
_symmetry_Int_Tables_number 123
_symmetry_space_group_name_Hall '-P 4 2'
_cell_length_a 7.990
_cell_length_b 7.990
_cell_length_c 5.764
_cell_angle_alpha 90.00
_cell_angle_beta 90.00
_cell_angle_gamma 90.00
loop_
_atom_site_label
_atom_site_type_symbol
_atom_site_fract_x
_atom_site_fract_y
_atom_site_fract_z
K1 K 0.000 0.500 0.000
Ba1 Ba 0.000 0.000 0.000
Au1 Au 0.500 0.500 0.500
Cl1 Cl 0.000 0.000 0.500

=====

(7)
# AlMoW2 PBE-GGA optimized geometry
# **Energy relative to the elements**: 0.01 eV/atom
data_AlMoW2
_symmetry_space_group_name_H-M 'P 1 2/m 1'
_symmetry_Int_Tables_number 10
_symmetry_space_group_name_Hall '-P 2y'
_cell_length_a 2.730
_cell_length_b 4.453
_cell_length_c 5.293
_cell_angle_alpha 90.00
_cell_angle_beta 101.53
_cell_angle_gamma 90.00
loop_
_atom_site_label
_atom_site_type_symbol
_atom_site_fract_x
_atom_site_fract_y
_atom_site_fract_z
Al1 Al 0.000 0.000 0.000
Mo1 Mo 0.500 0.000 0.500
W1 W 0.273 0.500 0.752

=====

(8)
# CdTe2H2 PBE-GGA optimized geometry
# **Relative energy among the computed polymorphs**: 0.0271 eV per atom
data_CdTe2H2
_symmetry_space_group_name_H-M 'P -1'
_symmetry_Int_Tables_number 2
_symmetry_space_group_name_Hall '-P 1'
_cell_length_a 3.397
_cell_length_b 3.450
_cell_length_c 9.978
_cell_angle_alpha 89.63
_cell_angle_beta 87.32
_cell_angle_gamma 85.29
loop_
_atom_site_label
_atom_site_type_symbol
_atom_site_fract_x
_atom_site_fract_y
_atom_site_fract_z
Cd1 Cd 0.000 0.000 0.000
Te1 Te 0.475 0.036 0.366
H1 H 0.267 0.280 0.100